# 1
This record from OQMD via LeMat-Bulk describes a relaxed ErBAsO crystal. The functional is PBE.

Computed properties:
total moment = 0.0 μB per formula unit
final energy = -51.7 eV/cell

abc: 3.516 6.627 5.839
angles: 90.00 90.00 90.00
Fractional positions:
1 As 0.000 0.284 0.435
2 As 0.000 0.716 0.935
3 B 0.500 0.113 0.442
4 B 0.500 0.887 0.942
5 Er 0.000 0.711 0.435
6 Er 0.000 0.289 0.935
7 O 0.500 0.908 0.442
8 O 0.500 0.092 0.942

# 2
This record from OQMD via LeMat-Bulk describes a relaxed FeBAs2 crystal. The functional is PBE.

Computed properties:
total moment = 1.3 μB per formula unit
final energy = -20.0 eV/cell

abc: 4.212 4.212 4.212
angles: 60.00 60.00 60.00
Fractional positions:
1 As 0.000 0.000 0.000
2 As 0.750 0.750 0.750
3 B 0.500 0.500 0.500
4 Fe 0.250 0.250 0.250

# 3
This record from OQMD via LeMat-Bulk describes a relaxed FeB4As crystal. The functional is PBE.

Computed properties:
total moment = 2.7 μB per formula unit
final energy = -37.3 eV/cell

abc: 3.016 3.016 7.007
angles: 90.00 90.00 120.00
Last column: magnetic moment on the atom in μB.
Fractional positions:
1 As 0.000 0.000 0.000  0.02
2 B 0.667 0.333 0.282  0.06
3 B 0.333 0.667 0.282  0.06
4 B 0.667 0.333 0.718  0.06
5 B 0.333 0.667 0.718  0.06
6 Fe 0.000 0.000 0.500  2.36

final energy of number 3 (FeB4As)? -37.3 eV/cell

Which of these has the highest total moment? FeB4As